No. 1
Crystalline La2Tc2Os at its relaxed geometry. Source: Alexandria, functional PBE.

Output
**ΔH_f (0 K)**: 0.1798 eV per atom
**Total magnetic moment**: 0.00 μB per formula unit
**V**: 218.6 Å³/cell

Unit cell a=6.6324 b=6.6324 c=4.9694 alpha=90.00 beta=90.00 gamma=90.00
Last column: nearest neighbours and their distance in Å.
Space group P4/mbm (No. 127)
Symmetry-distinct sites (fractional):
La  0.1840  0.3160  0.0000  6 Tc 3.01-3.28
Tc  0.1343  0.6343  0.5000  1 Tc 2.52, 2 Os 2.58
Os  0.0000  0.0000  0.5000  4 Tc 2.58



No. 2
Crystalline LaTc2Os at its relaxed geometry. Source: Alexandria, functional PBE.

Output
**Energy relative to the lowest polymorph listed for this composition**: 0.92 eV per formula unit
**ΔH_f (0 K)**: 0.5492 eV per atom
**Total magnetic moment**: 0.00 μB per formula unit
**V**: 280.6 Å³/cell

Unit cell a=6.5467 b=6.5467 c=6.5467 alpha=90.00 beta=90.00 gamma=90.00
Last column: nearest neighbours and their distance in Å.
Space group Fm-3m (No. 225)
Symmetry-distinct sites (fractional):
La  0.0000  0.0000  0.0000  8 Tc 2.83
Tc  0.2500  0.2500  0.2500  4 La 2.83, 4 Os 2.83
Os  0.0000  0.0000  0.5000  8 Tc 2.83



No. 3
Crystalline La2TcOs at its relaxed geometry. Source: Alexandria, functional PBE.

Output
**Energy relative to the lowest polymorph listed for this composition**: 0.57 eV per formula unit
**ΔH_f (0 K)**: 0.3414 eV per atom
**Total magnetic moment**: 0.00 μB per formula unit
**V**: 360.4 Å³/cell

Unit cell a=7.1167 b=7.1167 c=7.1167 alpha=90.00 beta=90.00 gamma=90.00
Last column: nearest neighbours and their distance in Å.
Space group Fm-3m (No. 225)
Symmetry-distinct sites (fractional):
La  0.2500  0.2500  0.2500  4 Tc 3.08, 4 Os 3.08
Tc  0.0000  0.0000  0.0000  8 La 3.08
Os  0.0000  0.0000  0.5000  8 La 3.08